# 1
# ScBC

An optimized crystal structure of ScBC (PBE-GGA, Alexandria).

As for the distance to the lowest polymorph of the same formula: 1.80 kcal/mol of atoms. The calculation puts the formation energy at -0.52 eV per atom. The density of states at the Fermi level is 1.718 states/eV per cell.

It has space group Immm (No. 71), with a = 2.9170 Å, b = 5.0711 Å, c = 7.3549 Å, α = 90.00°, β = 90.00° and γ = 90.00°. The distinct sites, in fractional coordinates, are Sc at (0.0000, 0.0000, 0.2482), B at (0.0000, 0.3235, 0.5000) and C at (0.0000, 0.3436, 0.0000).

# 2
# Sc2BC2

An optimized crystal structure of Sc2BC2 (PBE-GGA, Alexandria).

The calculation puts the formation energy at -0.37 eV per atom. The density of states at the Fermi level is 6.827 states/eV per cell.

It has space group C2/m (No. 12), with a = 9.7684 Å, b = 4.6720 Å, c = 6.5377 Å, α = 90.00°, β = 127.68° and γ = 90.00°. The distinct sites, in fractional coordinates, are Sc at (0.0838, 0.0000, 0.3044), Sc at (0.1677, 0.5000, 0.0556), B at (0.1282, 0.5000, 0.6563), C at (0.0570, 0.5000, 0.3598) and C at (0.1819, 0.0000, 0.0840).

# 3
# ScB2C

An optimized crystal structure of ScB2C (PBE-GGA, Alexandria).

The calculation puts the formation energy at 0.11 eV per atom. The density of states at the Fermi level is 2.602 states/eV per cell.

It has space group I4_1/amd (No. 141, origin choice 2), with a = 3.4086 Å, b = 3.4086 Å, c = 12.8221 Å, α = 90.00°, β = 90.00° and γ = 90.00°. The distinct sites, in fractional coordinates, are Sc at (0.0000, 0.2500, 0.3750), B at (0.0000, 0.0000, 0.0000) and C at (0.0000, 0.2500, 0.8750).

# 4
# ScBC3

An optimized crystal structure of ScBC3 (PBE-GGA, Alexandria).

As for the distance to the lowest polymorph of the same formula: 43.00 kcal/mol of atoms. The calculation puts the formation energy at 3.33 eV per atom. The density of states at the Fermi level is 2.186 states/eV per cell.

It has space group Pm-3m (No. 221), with a = 4.2398 Å, b = 4.2398 Å, c = 4.2398 Å, α = 90.00°, β = 90.00° and γ = 90.00°. The distinct sites, in fractional coordinates, are Sc at (0.0000, 0.0000, 0.0000), B at (0.5000, 0.5000, 0.5000) and C at (0.0000, 0.0000, 0.5000).

# 5
# ScB2C

An optimized crystal structure of ScB2C (PBE-GGA, Alexandria).

The calculation puts the formation energy at -0.58 eV per atom. The density of states at the Fermi level is 6.606 states/eV per cell.

It has space group P4_2/mbc (No. 135), with a = 6.6447 Å, b = 6.6447 Å, c = 6.7954 Å, α = 90.00°, β = 90.00° and γ = 90.00°. The distinct sites, in fractional coordinates, are Sc at (0.1924, 0.3076, 0.2500), B at (0.0334, 0.8467, 0.0000), B at (0.0921, 0.5960, 0.0000) and C at (0.0400, 0.8209, 0.5000).

# 6
# Sc12B5C3

An optimized crystal structure of Sc12B5C3 (PBE-GGA, Alexandria).

The calculation puts the formation energy at 0.18 eV per atom. The density of states at the Fermi level is 136.843 states/eV per cell.

It has space group Ia-3d (No. 230), with a = 13.9905 Å, b = 13.9905 Å, c = 13.9905 Å, α = 90.00°, β = 90.00° and γ = 90.00°. The distinct sites, in fractional coordinates, are Sc at (0.0237, 0.0668, 0.6523), B at (0.0000, 0.0000, 0.0000), B at (0.0000, 0.2500, 0.3750) and C at (0.0000, 0.2500, 0.1250).